Here is a geometry-optimized AcTiGa2 structure from Alexandria. Energies are from GGA-PBE.

Cell lengths 3.581, 3.581, 6.999 Å; angles 90.00, 90.00, 90.00 degrees
Each line ends with the local moment (μB).
Fractional coordinates of all 4 atoms:
Ac (0.500, 0.500, 0.500)  0.03
Ga (0.000, 0.000, 0.815)  0.00
Ga (0.000, 0.000, 0.185)  0.00
Ti (0.500, 0.500, 0.000)  0.61

Computed properties:
For the calculated total energy, the calculation gives -0.1771 hartree per atom. The symmetry is No. 123. For the energy above the lowest structure with this stoichiometry, the calculation gives 5 meV/atom. The volume is 89.74 Å³/cell. For the energy relative to the elements, the calculation gives -0.31 eV per atom.